1.
MnCr2Ru | PBE | optimized geometry

abc: 4.1207 4.1207 4.1207
angles: 60.00 60.00 60.00
Closest atoms and distances in Å follow each position.
Positions (direct):
Mn (0.0000, 0.0000, 0.0000)  8 Cr 2.52
Cr (0.2500, 0.2500, 0.2500)  4 Mn 2.52, 4 Ru 2.52
Cr (0.7500, 0.7500, 0.7500)  4 Mn 2.52, 4 Ru 2.52
Ru (0.5000, 0.5000, 0.5000)  8 Cr 2.52

Excess energy over the best structure of this formula in the dataset = 105 meV per atom
Formation energy = 0.17 eV per atom
Total magnetic moment = 2.34 μB/f.u.
Symmetry = No. 225

2.
GdHS | PBE | optimized geometry

abc: 4.6154 4.6154 4.6154
angles: 132.70 132.70 69.13
Closest atoms and distances in Å follow each position.
Positions (direct):
Gd (0.0000, 0.0000, 0.0000)  1 H 2.20
H (0.2900, 0.2900, 0.0000)  1 Gd 2.20
S (0.6335, 0.6335, 0.0000)  5 H 2.61-2.88, 5 Gd 2.79-2.81

Final energy = -8.238 eV per atom
Total magnetic moment = 7.00 μB/f.u.
Symmetry = No. 107

3.
YHoTh2 | PBE | optimized geometry

abc: 3.5546 3.5546 10.1443
angles: 90.00 90.00 90.00
Closest atoms and distances in Å follow each position.
Positions (direct):
Y (0.0000, 0.0000, 0.0000)  4 Y 3.55, 8 Th 3.59
Ho (0.0000, 0.0000, 0.5000)  4 Ho 3.55, 8 Th 3.56
Th (0.5000, 0.5000, 0.2520)  4 Th 3.55, 4 Ho 3.56, 4 Y 3.59
Th (0.5000, 0.5000, 0.7480)  4 Th 3.55, 4 Ho 3.56, 4 Y 3.59

Excess energy over the best structure of this formula in the dataset = 19 meV per atom
Formation energy = 0.05 eV per atom
Total magnetic moment = 0.00 μB/f.u.
Symmetry = No. 123

4.
TaSi3B | PBE | optimized geometry

abc: 4.1205 4.1205 4.1205
angles: 90.00 90.00 90.00
Closest atoms and distances in Å follow each position.
Positions (direct):
Ta (0.0000, 0.0000, 0.0000)  12 Si 2.91
Si (0.0000, 0.5000, 0.5000)  2 B 2.06
Si (0.5000, 0.0000, 0.5000)  2 B 2.06
Si (0.5000, 0.5000, 0.0000)  2 B 2.06
B (0.5000, 0.5000, 0.5000)  6 Si 2.06

Excess energy over the best structure of this formula in the dataset = 0 meV per atom
Total magnetic moment = 0.00 μB/f.u.
Symmetry = No. 221

5.
VCuRu3 | PBE | optimized geometry

abc: 4.4389 4.4389 4.4389
angles: 90.00 90.00 90.00
Closest atoms and distances in Å follow each position.
Positions (direct):
V (0.0000, 0.0000, 0.0000)  6 Ru 2.22
Cu (0.5000, 0.5000, 0.5000)  12 Ru 3.14
Ru (0.0000, 0.0000, 0.5000)  2 V 2.22
Ru (0.0000, 0.5000, 0.0000)  2 V 2.22
Ru (0.5000, 0.0000, 0.0000)  2 V 2.22

Excess energy over the best structure of this formula in the dataset = 0 meV per atom
Formation energy = 1.28 eV per atom
Total magnetic moment = 2.42 μB/f.u.
Symmetry = No. 221

6.
VRh3Se | PBE | optimized geometry

abc: 4.5134 4.5134 4.5134
angles: 90.00 90.00 90.00
Closest atoms and distances in Å follow each position.
Positions (direct):
V (0.0000, 0.0000, 0.0000)  6 Rh 2.26
Rh (0.0000, 0.0000, 0.5000)  2 V 2.26
Rh (0.0000, 0.5000, 0.0000)  2 V 2.26
Rh (0.5000, 0.0000, 0.0000)  2 V 2.26
Se (0.5000, 0.5000, 0.5000)  12 Rh 3.19

Excess energy over the best structure of this formula in the dataset = 160 meV per atom
Total magnetic moment = 0.00 μB/f.u.
Symmetry = No. 221

7.
Hg5Sb4 | PBE | optimized geometry

abc: 8.2731 8.2731 8.2731
angles: 93.05 93.05 153.34
Closest atoms and distances in Å follow each position.
Positions (direct):
Hg (0.0000, 0.0000, 0.0000)  8 Hg 3.26
Hg (0.3356, 0.3356, 0.6713)  4 Hg 3.26-3.35, 4 Sb 3.37
Hg (0.3356, 0.6644, 0.0000)  4 Hg 3.26-3.35, 4 Sb 3.37
Hg (0.6644, 0.3356, 0.0000)  4 Hg 3.26-3.35, 4 Sb 3.37
Hg (0.6644, 0.6644, 0.3287)  4 Hg 3.26-3.35, 4 Sb 3.37
Sb (0.0000, 0.3443, 0.3443)  4 Sb 3.15, 4 Hg 3.37
Sb (0.0000, 0.6557, 0.6557)  4 Sb 3.15, 4 Hg 3.37
Sb (0.3443, 0.0000, 0.3443)  4 Sb 3.15, 4 Hg 3.37
Sb (0.6557, 0.0000, 0.6557)  4 Sb 3.15, 4 Hg 3.37

Excess energy over the best structure of this formula in the dataset = 0 meV per atom
Total magnetic moment = 0.00 μB/f.u.
Symmetry = No. 139

8.
Be2B | PBE | optimized geometry

abc: 4.8803 4.8803 4.8803
angles: 140.35 140.35 57.33
Closest atoms and distances in Å follow each position.
Positions (direct):
Be (0.0000, 0.5000, 0.5000)  4 B 1.91, 2 Be 2.14
Be (0.2500, 0.7500, 0.5000)  4 B 2.03, 2 Be 2.14
Be (0.5000, 0.0000, 0.5000)  4 B 1.91, 2 Be 2.14
Be (0.7500, 0.2500, 0.5000)  4 B 2.03, 2 Be 2.14
B (0.1121, 0.1121, 0.0000)  8 Be 1.91-2.03, 1 B 1.92
B (0.8879, 0.8879, 0.0000)  8 Be 1.91-2.03, 1 B 1.92

Excess energy over the best structure of this formula in the dataset = 2 meV per atom
Formation energy = -0.02 eV per atom
Total magnetic moment = 0.00 μB/f.u.
Symmetry = No. 139

9.
TiSiSn2Bi | PBE | optimized geometry

abc: 5.2595 5.2595 4.8263
angles: 90.00 90.00 90.00
Closest atoms and distances in Å follow each position.
Positions (direct):
Ti (0.0000, 0.0000, 0.0000)  2 Si 2.41
Si (0.0000, 0.0000, 0.5000)  2 Ti 2.41, 4 Sn 2.63
Sn (0.0000, 0.5000, 0.5000)  2 Si 2.63
Sn (0.5000, 0.0000, 0.5000)  2 Si 2.63
Bi (0.5000, 0.5000, 0.0000)  8 Sn 3.57, 4 Ti 3.72

Final energy = -4.604 eV per atom
Total magnetic moment = 0.00 μB/f.u.
Symmetry = No. 123

10.
Dy6Zn5Si | PBE | optimized geometry

abc: 5.0199 7.0844 7.9700
angles: 90.00 108.30 90.00
Closest atoms and distances in Å follow each position.
Positions (direct):
Dy (0.0000, 0.2424, 0.0000)  2 Si 3.04, 6 Zn 3.10-3.18
Dy (0.0000, 0.7576, 0.0000)  2 Si 3.04, 6 Zn 3.10-3.18
Dy (0.3367, 0.2481, 0.6729)  7 Zn 2.99-3.12, 1 Si 3.04
Dy (0.3367, 0.7519, 0.6729)  7 Zn 2.99-3.12, 1 Si 3.04
Dy (0.6633, 0.2481, 0.3271)  7 Zn 2.99-3.12, 1 Si 3.04
Dy (0.6633, 0.7519, 0.3271)  7 Zn 2.99-3.12, 1 Si 3.04
Zn (0.1677, 0.5000, 0.3353)  8 Dy 3.08-3.13
Zn (0.1765, 0.0000, 0.3534)  8 Dy 2.99-3.18, 1 Zn 3.35
Zn (0.5000, 0.5000, 0.0000)  8 Dy 3.05-3.10
Zn (0.8235, 0.0000, 0.6466)  8 Dy 2.99-3.18, 1 Zn 3.35
Zn (0.8323, 0.5000, 0.6647)  8 Dy 3.08-3.13
Si (0.5000, 0.0000, 0.0000)  8 Dy 3.04

Final energy = -3.680 eV per atom
Total magnetic moment = 0.00 μB/f.u.
Symmetry = No. 10

11.
PtSO4F2 | PBE | optimized geometry

abc: 5.3930 5.3930 8.0373
angles: 100.37 100.37 90.21
Closest atoms and distances in Å follow each position.
Positions (direct):
Pt (0.0000, 0.0000, 0.0000)  4 O 1.96
Pt (0.0000, 0.0000, 0.5000)  4 O 1.96
S (0.0000, 0.5000, 0.0000)  4 O 1.57-1.58
S (0.5000, 0.0000, 0.5000)  4 O 1.57-1.58
O (0.0060, 0.3343, 0.1447)  1 S 1.58
O (0.0153, 0.2594, 0.8601)  1 S 1.57
O (0.2594, 0.0153, 0.3601)  1 S 1.57
O (0.3343, 0.0060, 0.6447)  1 S 1.58
O (0.6657, 0.9940, 0.3553)  1 S 1.58
O (0.7406, 0.9847, 0.6399)  1 S 1.57
O (0.9847, 0.7406, 0.1399)  1 S 1.57
O (0.9940, 0.6657, 0.8553)  1 S 1.58
F (0.0000, 0.5000, 0.5000)  2 F 2.70, 2 Pt 2.70, 2 O 2.84
F (0.5000, 0.0000, 0.0000)  2 F 2.70, 2 Pt 2.70, 2 O 2.84
F (0.5000, 0.5000, 0.0000)  2 F 2.70, 2 S 2.70, 4 O 2.86-2.97
F (0.5000, 0.5000, 0.5000)  2 F 2.70, 2 S 2.70, 4 O 2.86-2.97

Final energy = -4.557 eV per atom
Total magnetic moment = 1.18 μB/f.u.
Symmetry = No. 15

12.
PmPr6Tm12 | PBE | optimized geometry

abc: 8.8471 8.8471 8.8471
angles: 100.28 100.28 100.28
Closest atoms and distances in Å follow each position.
Positions (direct):
Pm (0.0000, 0.0000, 0.0000)  6 Pr 3.92
Pr (0.2233, 0.2233, 0.7330)  4 Tm 2.97-3.20
Pr (0.2233, 0.7330, 0.2233)  4 Tm 2.97-3.20
Pr (0.2670, 0.7767, 0.7767)  4 Tm 2.97-3.20
Pr (0.7330, 0.2233, 0.2233)  4 Tm 2.97-3.20
Pr (0.7767, 0.2670, 0.7767)  4 Tm 2.97-3.20
Pr (0.7767, 0.7767, 0.2670)  4 Tm 2.97-3.20
Tm (0.1157, 0.5000, 0.8843)  4 Pr 2.97-3.20, 1 Tm 3.14
Tm (0.1157, 0.8843, 0.5000)  4 Pr 2.97-3.20, 1 Tm 3.14
Tm (0.1621, 0.4478, 0.4478)  3 Tm 3.39-3.63, 3 Pr 3.51-3.58
Tm (0.4478, 0.1621, 0.4478)  3 Tm 3.39-3.63, 3 Pr 3.51-3.58
Tm (0.4478, 0.4478, 0.1621)  3 Tm 3.39-3.63, 3 Pr 3.51-3.58
Tm (0.5000, 0.1157, 0.8843)  4 Pr 2.97-3.20, 1 Tm 3.14
Tm (0.5000, 0.8843, 0.1157)  4 Pr 2.97-3.20, 1 Tm 3.14
Tm (0.5522, 0.5522, 0.8379)  3 Tm 3.39-3.63, 3 Pr 3.51-3.58
Tm (0.5522, 0.8379, 0.5522)  3 Tm 3.39-3.63, 3 Pr 3.51-3.58
Tm (0.8379, 0.5522, 0.5522)  3 Tm 3.39-3.63, 3 Pr 3.51-3.58
Tm (0.8843, 0.1157, 0.5000)  4 Pr 2.97-3.20, 1 Tm 3.14
Tm (0.8843, 0.5000, 0.1157)  4 Pr 2.97-3.20, 1 Tm 3.14

Excess energy over the best structure of this formula in the dataset = 258 meV per atom
Formation energy = 0.48 eV per atom
Total magnetic moment = 0.00 μB/f.u.
Symmetry = No. 166

Which value of total magnetic moment does entry 7 give?
0.00 μB/f.u.